This record from Alexandria describes an optimized crystal structure of Sc2IrPt. The functional is PBE.

abc: 3.1965 3.2738 6.6513
angles: 90.00 90.00 90.00
Closest atoms and distances in Å follow each position.
Space group Pmmm (No. 47)
Inequivalent atoms, fractional coordinates:
Sc1 0.0000 0.0000 0.2448  4 Ir 2.81, 4 Pt 2.85
Ir1 0.5000 0.5000 0.0000  8 Sc 2.81
Pt1 0.5000 0.5000 0.5000  8 Sc 2.85

Values from the calculation:
DFT total energy (Ha/atom): -0.29497
D(E_F) (states/eV/cell): 1.35
V (Å³/atom): 17.40
Magnetic moment (μB/cell): 0.00